! PrDySc4 | Alexandria via LeMat-Bulk | PBE-GGA | relaxed; values from VASP
! uncorrected energy = -5.743 eV per atom
! calculated volume = 27.53 Å³ per atom
! E above lowest polymorph = 0.000 eV per atom
! spin magnetization = 0.0 μB/cell
! symmetry = Pmmn (59)
! calculated formation energy = 24 kJ/mol of formula units
&SYSTEM
  ibrav = 0, nat = 12, ntyp = 3
/
ATOMIC_SPECIES
Dy 162.50 Dy.upf
Pr 140.91 Pr.upf
Sc 44.96 Sc.upf
CELL_PARAMETERS angstrom
5.1208 -1.5880 0.0000
-2.0771 11.4096 0.0000
0.0000 0.0000 5.9923
ATOMIC_POSITIONS crystal
Dy 0.5000 0.2500 0.4251
Dy 0.5000 0.7500 0.5749
Pr 0.0000 0.2500 0.0743
Pr 0.0000 0.7500 0.9257
Sc 0.6710 0.9207 0.0903
Sc 0.8281 0.5783 0.4109
Sc 0.3290 0.0793 0.9097
Sc 0.8281 0.0783 0.5891
Sc 0.3290 0.5793 0.0903
Sc 0.1719 0.9217 0.4109
Sc 0.6710 0.4207 0.9097
Sc 0.1719 0.4217 0.5891

! PrDy2Sc5 | Alexandria via LeMat-Bulk | PBE-GGA | relaxed; values from VASP
! uncorrected energy = -5.645 eV per atom
! calculated volume = 27.29 Å³ per atom
! spin magnetization = 0.0 μB/cell
! symmetry = I4/mmm (139)
! calculated formation energy = 47 kJ/mol of formula units
&SYSTEM
  ibrav = 0, nat = 8, ntyp = 3
/
ATOMIC_SPECIES
Sc 44.96 Sc.upf
Pr 140.91 Pr.upf
Dy 162.50 Dy.upf
CELL_PARAMETERS angstrom
-3.3294 4.2561 -3.9921
-3.5109 -4.3538 3.7221
3.1785 2.4441 5.3907
ATOMIC_POSITIONS crystal
Sc 0.5002 0.2779 0.2779
Sc 0.0000 0.2776 0.2776
Sc 0.4998 0.7776 0.7776
Sc 0.0000 0.2779 0.7776
Sc 0.0000 0.7776 0.2779
Pr 0.0000 0.7780 0.7780
Dy 0.5000 0.2777 0.7777
Dy 0.5000 0.7777 0.2777

! Pr2Dy3Sc3 | Alexandria via LeMat-Bulk | PBE-GGA | relaxed; values from VASP
! uncorrected energy = -5.255 eV per atom
! calculated volume = 29.74 Å³ per atom
! spin magnetization = 0.0 μB/cell
! symmetry = C2/m (12)
! calculated formation energy = 31 kJ/mol of formula units
&SYSTEM
  ibrav = 0, nat = 8, ntyp = 3
/
ATOMIC_SPECIES
Pr 140.91 Pr.upf
Dy 162.50 Dy.upf
Sc 44.96 Sc.upf
CELL_PARAMETERS angstrom
0.2516 -3.3128 1.1580
3.9396 -1.2407 -4.4053
10.5183 0.7204 5.1200
ATOMIC_POSITIONS crystal
Pr 0.2546 0.2594 0.4908
Pr 0.7454 0.7406 0.5092
Dy 0.3784 0.0381 0.2432
Dy 0.5000 0.5000 0.0000
Dy 0.6216 0.9619 0.7568
Sc 0.8793 0.5469 0.2413
Sc 0.1207 0.4531 0.7587
Sc 0.0000 0.0000 0.0000

! Pr8Dy3Sc2 | Alexandria via LeMat-Bulk | PBE-GGA | relaxed; values from VASP
! uncorrected energy = -4.766 eV per atom
! calculated volume = 34.47 Å³ per atom
! E above lowest polymorph = 0.048 eV per atom
! spin magnetization = 0.0 μB/cell
! symmetry = C2/m (12)
! calculated formation energy = 265 kJ/mol of formula units
&SYSTEM
  ibrav = 0, nat = 13, ntyp = 3
/
ATOMIC_SPECIES
Pr 140.91 Pr.upf
Dy 162.50 Dy.upf
Sc 44.96 Sc.upf
CELL_PARAMETERS angstrom
5.6916 0.0000 0.7964
0.0000 7.8304 0.0000
-1.3835 -3.9152 9.8610
ATOMIC_POSITIONS crystal
Pr 0.9996 0.1317 0.2634
Pr 0.5001 0.4063 0.2207
Pr 0.5001 0.8145 0.2207
Pr 0.4999 0.1855 0.7793
Pr 0.0004 0.8683 0.7366
Pr 0.9994 0.3199 0.6399
Pr 0.4999 0.5937 0.7793
Pr 0.0006 0.6801 0.3601
Dy 0.0000 0.2878 0.0000
Dy 0.5000 0.0000 0.0000
Dy 0.0000 0.7122 0.0000
Sc 0.5008 0.7609 0.5219
Sc 0.4992 0.2391 0.4781

! Pr8Dy6Sc | Alexandria via LeMat-Bulk | PBE-GGA | relaxed; values from VASP
! uncorrected energy = -4.688 eV per atom
! calculated volume = 33.88 Å³ per atom
! spin magnetization = 0.0 μB/cell
! symmetry = R-3 (148)
! calculated formation energy = 180 kJ/mol of formula units
&SYSTEM
  ibrav = 0, nat = 15, ntyp = 3
/
ATOMIC_SPECIES
Pr 140.91 Pr.upf
Dy 162.50 Dy.upf
Sc 44.96 Sc.upf
CELL_PARAMETERS angstrom
7.8861 0.1216 3.8113
2.4414 7.4997 3.8113
0.1648 0.1216 8.7573
ATOMIC_POSITIONS crystal
Pr 0.4217 0.4217 0.4217
Pr 0.2841 0.2446 0.8877
Pr 0.5783 0.5783 0.5783
Pr 0.7159 0.7554 0.1123
Pr 0.2446 0.8877 0.2841
Pr 0.7554 0.1123 0.7159
Pr 0.8877 0.2841 0.2446
Pr 0.1123 0.7159 0.7554
Dy 0.9039 0.4563 0.7552
Dy 0.0961 0.5437 0.2448
Dy 0.2448 0.0961 0.5437
Dy 0.7552 0.9039 0.4563
Dy 0.4563 0.7552 0.9039
Dy 0.5437 0.2448 0.0961
Sc 0.0000 0.0000 0.0000

! Pr4DySc3 | Alexandria via LeMat-Bulk | PBE-GGA | relaxed; values from VASP
! uncorrected energy = -5.050 eV per atom
! calculated volume = 34.13 Å³ per atom
! spin magnetization = 0.0 μB/cell
! symmetry = C2/m (12)
! calculated formation energy = 224 kJ/mol of formula units
&SYSTEM
  ibrav = 0, nat = 8, ntyp = 3
/
ATOMIC_SPECIES
Pr 140.91 Pr.upf
Sc 44.96 Sc.upf
Dy 162.50 Dy.upf
CELL_PARAMETERS angstrom
-2.6982 1.7596 -1.3297
-2.3106 -4.8968 -1.7912
-1.0639 6.9441 15.9142
ATOMIC_POSITIONS crystal
Pr 0.6902 0.7003 0.3804
Pr 0.5997 0.8669 0.1993
Pr 0.4003 0.1331 0.8007
Pr 0.3098 0.2997 0.6196
Sc 0.2058 0.2540 0.4116
Sc 0.7942 0.7460 0.5884
Sc 0.0000 0.5000 0.0000
Dy 0.5000 0.0000 0.0000

! PrDy2Sc2 | Alexandria via LeMat-Bulk | PBE-GGA | relaxed; values from VASP
! uncorrected energy = -4.787 eV per atom
! calculated volume = 33.75 Å³ per atom
! E above lowest polymorph = 0.413 eV per atom
! spin magnetization = 0.0 μB/cell
! symmetry = Fddd (70)
! calculated formation energy = 262 kJ/mol of formula units
&SYSTEM
  ibrav = 0, nat = 10, ntyp = 3
/
ATOMIC_SPECIES
Pr 140.91 Pr.upf
Dy 162.50 Dy.upf
Sc 44.96 Sc.upf
CELL_PARAMETERS angstrom
-3.5699 4.0589 3.0997
0.5011 -6.0878 1.2306
9.6472 3.0358 4.5313
ATOMIC_POSITIONS crystal
Pr 0.7500 0.2500 0.5000
Pr 0.5000 0.5000 0.0000
Dy 0.0829 0.9171 0.5000
Dy 0.8329 0.1671 0.0000
Dy 0.4171 0.5829 0.5000
Dy 0.1671 0.8329 0.0000
Sc 0.6250 0.3750 0.7500
Sc 0.6250 0.3750 0.2500
Sc 0.6250 0.8750 0.2500
Sc 0.1250 0.3750 0.7500

! Pr3DySc3 | Alexandria via LeMat-Bulk | PBE-GGA | relaxed; values from VASP
! uncorrected energy = -5.241 eV per atom
! calculated volume = 31.54 Å³ per atom
! spin magnetization = 0.0 μB/cell
! symmetry = R-3 (148)
! calculated formation energy = 121 kJ/mol of formula units
&SYSTEM
  ibrav = 0, nat = 14, ntyp = 3
/
ATOMIC_SPECIES
Dy 162.50 Dy.upf
Pr 140.91 Pr.upf
Sc 44.96 Sc.upf
CELL_PARAMETERS angstrom
-4.1890 -7.5266 -0.7762
4.2049 -7.5553 0.1867
-0.7840 -5.4474 6.6716
ATOMIC_POSITIONS crystal
Dy 0.6566 0.6566 0.6566
Dy 0.3434 0.3434 0.3434
Pr 0.5644 0.0743 0.7131
Pr 0.4356 0.9257 0.2869
Pr 0.2869 0.4356 0.9257
Pr 0.9257 0.2869 0.4356
Pr 0.7131 0.5644 0.0743
Pr 0.0743 0.7131 0.5644
Sc 0.9392 0.7249 0.1694
Sc 0.8306 0.0608 0.2751
Sc 0.7249 0.1694 0.9392
Sc 0.2751 0.8306 0.0608
Sc 0.0608 0.2751 0.8306
Sc 0.1694 0.9392 0.7249